(1)
A plane-wave DFT calculation with PBE was carried out for a relaxed structure of Ba4Re5.

Values from the calculation:
N(E_F) (states/eV/atom): 1.19
ΔE_f (kJ/mol of formula units): 1155

Unit cell a=8.935 b=8.935 c=8.935 alpha=92.56 beta=92.56 gamma=155.59
Element x y z (fractional)
Ba 0.000 0.271 0.271
Ba 0.000 0.729 0.729
Ba 0.271 0.000 0.271
Ba 0.729 0.000 0.729
Re 0.000 0.000 0.000
Re 0.291 0.291 0.582
Re 0.291 0.709 0.000
Re 0.709 0.291 0.000
Re 0.709 0.709 0.418



(2)
A plane-wave DFT calculation with PBE was carried out for a relaxed structure of K2RePb.

Values from the calculation:
N(E_F) (states/eV/atom): 0.73
ΔE_f (kJ/mol of formula units): 358

Unit cell a=5.274 b=5.274 c=10.271 alpha=103.58 beta=103.58 gamma=33.86
Element x y z (fractional)
K 0.000 0.000 0.000
K 0.148 0.148 0.592
Re 0.618 0.618 0.296
Pb 0.351 0.351 0.296



(3)
A plane-wave DFT calculation with PBE was carried out for a relaxed structure of Ba3SrCa2S6.

Values from the calculation:
Uncorrected formation energy (meV per atom): -2074
N(E_F) (states/eV/atom): 0.00

Unit cell a=7.523 b=7.523 c=7.549 alpha=99.57 beta=99.57 gamma=119.99
Element x y z (fractional)
Ba 0.000 0.000 0.000
Ba 0.334 0.666 0.000
Ba 0.666 0.334 0.000
Sr 0.500 0.500 0.500
Ca 0.167 0.833 0.500
Ca 0.833 0.167 0.500
S 0.083 0.424 0.273
S 0.235 0.235 0.726
S 0.424 0.083 0.273
S 0.576 0.917 0.727
S 0.765 0.765 0.274
S 0.917 0.576 0.727



Copy entry 1 word for word.
A plane-wave DFT calculation with PBE was carried out for a relaxed structure of Ba4Re5.

Values from the calculation:
N(E_F) (states/eV/atom): 1.19
ΔE_f (kJ/mol of formula units): 1155

Unit cell a=8.935 b=8.935 c=8.935 alpha=92.56 beta=92.56 gamma=155.59
Element x y z (fractional)
Ba 0.000 0.271 0.271
Ba 0.000 0.729 0.729
Ba 0.271 0.000 0.271
Ba 0.729 0.000 0.729
Re 0.000 0.000 0.000
Re 0.291 0.291 0.582
Re 0.291 0.709 0.000
Re 0.709 0.291 0.000
Re 0.709 0.709 0.418